Sc2Nb4Fe3N3: relaxed, GGA-PBE.

Electronic total energy in eV per cell: -221.92
Space-group type: No. 15
V in Å³ per cell: 326.4
Crystal system: monoclinic

Geometry as CIF:
```
data_Sc2Nb4Fe3N3
_cell_length_a 5.3507
_cell_length_b 5.3507
_cell_length_c 13.5266
_cell_angle_alpha 101.45
_cell_angle_beta 101.45
_cell_angle_gamma 59.97
_symmetry_space_group_name_H-M 'P 1'
_symmetry_Int_Tables_number 1
loop_
_symmetry_equiv_pos_as_xyz
'x,y,z'
loop_
_atom_site_label
_atom_site_type_symbol
_atom_site_fract_x
_atom_site_fract_y
_atom_site_fract_z
Nb1 Nb 0.8622 0.6951 0.0915
Nb2 Nb 0.0261 0.1999 0.5914
Nb3 Nb 0.1378 0.3049 0.9085
Nb4 Nb 0.1999 0.0261 0.0914
Nb5 Nb 0.6951 0.8622 0.5915
Nb6 Nb 0.8001 0.9739 0.9086
Nb7 Nb 0.9739 0.8001 0.4086
Nb8 Nb 0.3049 0.1378 0.4085
Fe1 Fe 0.5843 0.9097 0.2502
Fe2 Fe 0.0903 0.4157 0.2498
Fe3 Fe 0.9199 0.0801 0.7500
Fe4 Fe 0.4157 0.0903 0.7498
Fe5 Fe 0.9097 0.5843 0.7502
Fe6 Fe 0.0801 0.9199 0.2500
Sc1 Sc 0.3734 0.5391 0.6156
Sc2 Sc 0.5391 0.3734 0.1156
Sc3 Sc 0.6266 0.4609 0.3844
Sc4 Sc 0.4609 0.6266 0.8844
N1 N 0.3399 0.8199 0.5000
N2 N 0.6601 0.1801 0.5000
N3 N 0.5000 0.0000 0.0000
N4 N 0.0000 0.5000 0.5000
N5 N 0.1801 0.6601 0.0000
N6 N 0.8199 0.3399 0.0000
```



Nb4FeSiN2: relaxed, GGA-PBE.

Electronic total energy in eV per cell: -74.73
Space-group type: No. 187
V in Å³ per cell: 107.7
Crystal system: hexagonal

Geometry as CIF:
```
data_Nb4FeSiN2
_cell_length_a 3.1205
_cell_length_b 3.1205
_cell_length_c 12.7655
_cell_angle_alpha 90.00
_cell_angle_beta 90.00
_cell_angle_gamma 120.00
_symmetry_space_group_name_H-M 'P 1'
_symmetry_Int_Tables_number 1
loop_
_symmetry_equiv_pos_as_xyz
'x,y,z'
loop_
_atom_site_label
_atom_site_type_symbol
_atom_site_fract_x
_atom_site_fract_y
_atom_site_fract_z
Nb1 Nb 0.6667 0.3333 0.6508
Nb2 Nb 0.3333 0.6667 0.1545
Nb3 Nb 0.3333 0.6667 0.8455
Nb4 Nb 0.6667 0.3333 0.3492
N1 N 0.0000 0.0000 0.7469
N2 N 0.0000 0.0000 0.2531
Si1 Si 0.6667 0.3333 0.0000
Fe1 Fe 0.3333 0.6667 0.5000
```



Nb4TlFeN2: relaxed, GGA-PBE.

Electronic total energy in eV per cell: -70.78
Space-group type: No. 187
V in Å³ per cell: 118.1
Crystal system: hexagonal

Geometry as CIF:
```
data_Nb4TlFeN2
_cell_length_a 3.1381
_cell_length_b 3.1381
_cell_length_c 13.8434
_cell_angle_alpha 90.00
_cell_angle_beta 90.00
_cell_angle_gamma 120.00
_symmetry_space_group_name_H-M 'P 1'
_symmetry_Int_Tables_number 1
loop_
_symmetry_equiv_pos_as_xyz
'x,y,z'
loop_
_atom_site_label
_atom_site_type_symbol
_atom_site_fract_x
_atom_site_fract_y
_atom_site_fract_z
Nb1 Nb 0.6667 0.3333 0.8566
Nb2 Nb 0.0000 0.0000 0.3192
Nb3 Nb 0.6667 0.3333 0.1434
Nb4 Nb 0.0000 0.0000 0.6808
N1 N 0.3333 0.6667 0.7692
N2 N 0.3333 0.6667 0.2308
Fe1 Fe 0.0000 0.0000 0.0000
Tl1 Tl 0.6667 0.3333 0.5000
```



Y2Nb4Fe3N3: relaxed, GGA-PBE.

Electronic total energy in eV per cell: -221.45
Space-group type: No. 15
V in Å³ per cell: 337.2
Crystal system: monoclinic

Geometry as CIF:
```
data_Y2Nb4Fe3N3
_cell_length_a 5.4622
_cell_length_b 5.4622
_cell_length_c 13.4277
_cell_angle_alpha 101.87
_cell_angle_beta 101.87
_cell_angle_gamma 60.04
_symmetry_space_group_name_H-M 'P 1'
_symmetry_Int_Tables_number 1
loop_
_symmetry_equiv_pos_as_xyz
'x,y,z'
loop_
_atom_site_label
_atom_site_type_symbol
_atom_site_fract_x
_atom_site_fract_y
_atom_site_fract_z
Nb1 Nb 0.9738 0.7977 0.9055
Nb2 Nb 0.0262 0.2023 0.0945
Nb3 Nb 0.7977 0.9738 0.4055
Nb4 Nb 0.1378 0.3035 0.4055
Nb5 Nb 0.2023 0.0262 0.5945
Nb6 Nb 0.3035 0.1378 0.9055
Nb7 Nb 0.6965 0.8622 0.0945
Nb8 Nb 0.8622 0.6965 0.5945
Y1 Y 0.6241 0.4569 0.8747
Y2 Y 0.5431 0.3759 0.6253
Y3 Y 0.3759 0.5431 0.1253
Y4 Y 0.4569 0.6241 0.3747
N1 N 0.5000 0.0000 0.5000
N2 N 0.6682 0.1636 0.0000
N3 N 0.8364 0.3318 0.5000
N4 N 0.1636 0.6682 0.5000
N5 N 0.0000 0.5000 0.0000
N6 N 0.3318 0.8364 0.0000
Fe1 Fe 0.0784 0.9216 0.7500
Fe2 Fe 0.5854 0.9103 0.7506
Fe3 Fe 0.9216 0.0784 0.2500
Fe4 Fe 0.4146 0.0897 0.2494
Fe5 Fe 0.0897 0.4146 0.7494
Fe6 Fe 0.9103 0.5854 0.2506
```



Nb4ZnFeN2: relaxed, GGA-PBE.

Electronic total energy in eV per cell: -70.30
Space-group type: No. 187
V in Å³ per cell: 111.2
Crystal system: hexagonal

Geometry as CIF:
```
data_Nb4ZnFeN2
_cell_length_a 3.0953
_cell_length_b 3.0953
_cell_length_c 13.4069
_cell_angle_alpha 90.00
_cell_angle_beta 90.00
_cell_angle_gamma 120.00
_symmetry_space_group_name_H-M 'P 1'
_symmetry_Int_Tables_number 1
loop_
_symmetry_equiv_pos_as_xyz
'x,y,z'
loop_
_atom_site_label
_atom_site_type_symbol
_atom_site_fract_x
_atom_site_fract_y
_atom_site_fract_z
Fe1 Fe 0.0000 0.0000 0.0000
Nb1 Nb 0.6667 0.3333 0.8510
Nb2 Nb 0.0000 0.0000 0.3338
Nb3 Nb 0.0000 0.0000 0.6662
Nb4 Nb 0.6667 0.3333 0.1490
N1 N 0.3333 0.6667 0.7578
N2 N 0.3333 0.6667 0.2422
Zn1 Zn 0.6667 0.3333 0.5000
```



Zr4Nb2Fe3N3: relaxed, GGA-PBE.

Electronic total energy in eV per cell: -221.06
Space-group type: No. 15
V in Å³ per cell: 336.6
Crystal system: monoclinic

Geometry as CIF:
```
data_Zr4Nb2Fe3N3
_cell_length_a 5.4227
_cell_length_b 5.4227
_cell_length_c 13.6681
_cell_angle_alpha 101.57
_cell_angle_beta 101.57
_cell_angle_gamma 59.41
_symmetry_space_group_name_H-M 'P 1'
_symmetry_Int_Tables_number 1
loop_
_symmetry_equiv_pos_as_xyz
'x,y,z'
loop_
_atom_site_label
_atom_site_type_symbol
_atom_site_fract_x
_atom_site_fract_y
_atom_site_fract_z
N1 N 0.0000 0.5000 0.0000
N2 N 0.6566 0.1858 0.0000
N3 N 0.3434 0.8142 0.0000
N4 N 0.5000 0.0000 0.5000
N5 N 0.8142 0.3434 0.5000
N6 N 0.1858 0.6566 0.5000
Zr1 Zr 0.7978 0.9770 0.4059
Zr2 Zr 0.0230 0.2022 0.0941
Zr3 Zr 0.3051 0.1381 0.9055
Zr4 Zr 0.1381 0.3051 0.4055
Zr5 Zr 0.6949 0.8619 0.0945
Zr6 Zr 0.2022 0.0230 0.5941
Zr7 Zr 0.8619 0.6949 0.5945
Zr8 Zr 0.9770 0.7978 0.9059
Fe1 Fe 0.5853 0.9371 0.7501
Fe2 Fe 0.4147 0.0629 0.2499
Fe3 Fe 0.8927 0.1073 0.2500
Fe4 Fe 0.0629 0.4147 0.7499
Fe5 Fe 0.9371 0.5853 0.2501
Fe6 Fe 0.1073 0.8927 0.7500
Nb1 Nb 0.4559 0.6218 0.3680
Nb2 Nb 0.3782 0.5441 0.1320
Nb3 Nb 0.6218 0.4559 0.8680
Nb4 Nb 0.5441 0.3782 0.6320
```



Zr2Nb4Fe3N3: relaxed, GGA-PBE.

Electronic total energy in eV per cell: -230.06
Space-group type: No. 15
V in Å³ per cell: 328.2
Crystal system: monoclinic

Geometry as CIF:
```
data_Zr2Nb4Fe3N3
_cell_length_a 5.3464
_cell_length_b 5.3551
_cell_length_c 13.5816
_cell_angle_alpha 78.77
_cell_angle_beta 78.65
_cell_angle_gamma 60.05
_symmetry_space_group_name_H-M 'P 1'
_symmetry_Int_Tables_number 1
loop_
_symmetry_equiv_pos_as_xyz
'x,y,z'
loop_
_atom_site_label
_atom_site_type_symbol
_atom_site_fract_x
_atom_site_fract_y
_atom_site_fract_z
N1 N 0.3420 0.3421 0.5001
N2 N 0.0000 0.0000 0.5000
N3 N 0.8158 0.8422 0.0000
N4 N 0.5000 0.5000 0.0000
N5 N 0.1842 0.1578 0.0000
N6 N 0.6580 0.6579 0.4999
Nb1 Nb 0.3058 0.9657 0.5912
Nb2 Nb 0.9744 0.6340 0.5912
Nb3 Nb 0.8626 0.5343 0.9088
Nb4 Nb 0.8004 0.1340 0.0912
Nb5 Nb 0.1996 0.8660 0.9088
Nb6 Nb 0.6942 0.0343 0.4088
Nb7 Nb 0.1374 0.4657 0.0912
Nb8 Nb 0.0256 0.3660 0.4088
Fe1 Fe 0.5845 0.7497 0.7499
Fe2 Fe 0.0852 0.2500 0.7500
Fe3 Fe 0.0840 0.7503 0.7501
Fe4 Fe 0.4155 0.2503 0.2501
Fe5 Fe 0.9148 0.7500 0.2500
Fe6 Fe 0.9160 0.2497 0.2499
Zr1 Zr 0.5413 0.2057 0.8797
Zr2 Zr 0.3734 0.7057 0.3797
Zr3 Zr 0.4587 0.7943 0.1203
Zr4 Zr 0.6266 0.2943 0.6203
```



Nd3FeN3: relaxed, GGA-PBE.

Electronic total energy in eV per cell: -109.27
Space-group type: No. 176
V in Å³ per cell: 238.3
Crystal system: hexagonal

Geometry as CIF:
```
data_Nd3FeN3
_cell_length_a 7.3061
_cell_length_b 7.3061
_cell_length_c 5.1554
_cell_angle_alpha 90.00
_cell_angle_beta 90.00
_cell_angle_gamma 120.00
_symmetry_space_group_name_H-M 'P 1'
_symmetry_Int_Tables_number 1
loop_
_symmetry_equiv_pos_as_xyz
'x,y,z'
loop_
_atom_site_label
_atom_site_type_symbol
_atom_site_fract_x
_atom_site_fract_y
_atom_site_fract_z
N1 N 0.3937 0.3089 0.2500
N2 N 0.3089 0.9152 0.7500
N3 N 0.6063 0.6911 0.7500
N4 N 0.6911 0.0848 0.2500
N5 N 0.9152 0.6063 0.2500
N6 N 0.0848 0.3937 0.7500
Fe1 Fe 0.6667 0.3333 0.2500
Fe2 Fe 0.3333 0.6667 0.7500
Nd1 Nd 0.6378 0.7152 0.2500
Nd2 Nd 0.7152 0.0774 0.7500
Nd3 Nd 0.9226 0.6378 0.7500
Nd4 Nd 0.0774 0.3622 0.2500
Nd5 Nd 0.2848 0.9226 0.2500
Nd6 Nd 0.3622 0.2848 0.7500
```



FeNi2PdN: relaxed, GGA-PBE.

Electronic total energy in eV per cell: -33.31
Space-group type: No. 123
V in Å³ per cell: 56.0
Crystal system: tetragonal

Geometry as CIF:
```
data_FeNi2PdN
_cell_length_a 3.8092
_cell_length_b 3.8092
_cell_length_c 3.8563
_cell_angle_alpha 90.00
_cell_angle_beta 90.00
_cell_angle_gamma 90.00
_symmetry_space_group_name_H-M 'P 1'
_symmetry_Int_Tables_number 1
loop_
_symmetry_equiv_pos_as_xyz
'x,y,z'
loop_
_atom_site_label
_atom_site_type_symbol
_atom_site_fract_x
_atom_site_fract_y
_atom_site_fract_z
N1 N 0.0000 0.0000 0.0000
Fe1 Fe 0.0000 0.0000 0.5000
Pd1 Pd 0.5000 0.5000 0.5000
Ni1 Ni 0.5000 0.0000 0.0000
Ni2 Ni 0.0000 0.5000 0.0000
```



Fe2NiPdN: relaxed, GGA-PBE.

Electronic total energy in eV per cell: -36.25
Space-group type: No. 123
V in Å³ per cell: 56.5
Crystal system: tetragonal

Geometry as CIF:
```
data_Fe2NiPdN
_cell_length_a 3.8414
_cell_length_b 3.8414
_cell_length_c 3.8319
_cell_angle_alpha 90.00
_cell_angle_beta 90.00
_cell_angle_gamma 90.00
_symmetry_space_group_name_H-M 'P 1'
_symmetry_Int_Tables_number 1
loop_
_symmetry_equiv_pos_as_xyz
'x,y,z'
loop_
_atom_site_label
_atom_site_type_symbol
_atom_site_fract_x
_atom_site_fract_y
_atom_site_fract_z
Ni1 Ni 0.0000 0.0000 0.0000
Fe1 Fe 0.0000 0.5000 0.5000
Fe2 Fe 0.5000 0.0000 0.5000
N1 N 0.0000 0.0000 0.5000
Pd1 Pd 0.5000 0.5000 0.0000
```



Question: The lowest V belongs to which entry?
Answer: FeNi2PdN